Entry 1:
Density functional theory data (PBE) for a relaxed Ho2Fe14C crystal.

```
Ho2Fe14C
1.0
-6.4506 -5.3716 2.3111
-0.0740 -3.3657 -8.0295
7.8465 -8.0092 3.2850
Fe Ho C
56 8 4
direct
0.0000 0.5000 0.0000
0.7255 0.0643 0.1205
0.0000 0.0000 0.8917
0.5643 0.7745 0.3795
0.2255 0.4357 0.3795
0.9357 0.2745 0.1205
0.0969 0.9031 0.2969
0.0357 0.6423 0.3248
0.3577 0.9643 0.6752
0.1842 0.1842 0.2452
0.2745 0.9357 0.1205
0.8158 0.8158 0.2452
0.6423 0.0357 0.6752
0.3158 0.6842 0.7452
0.5357 0.8577 0.8248
0.1423 0.4643 0.8248
0.3577 0.9643 0.3248
0.0643 0.7255 0.1205
0.4357 0.2255 0.6205
0.5969 0.5969 0.2031
0.0357 0.6423 0.6752
0.8577 0.5357 0.8248
0.6842 0.3158 0.7452
0.8577 0.5357 0.1752
0.7255 0.0643 0.8795
0.0643 0.7255 0.8795
0.4643 0.1423 0.1752
0.9031 0.0969 0.7031
0.8158 0.8158 0.7548
0.4643 0.1423 0.8248
0.0000 0.5000 0.5000
0.6842 0.3158 0.2548
0.7745 0.5643 0.3795
0.0969 0.9031 0.7031
0.5357 0.8577 0.1752
0.3158 0.6842 0.2548
0.5000 0.5000 0.3917
0.4031 0.4031 0.2031
0.5000 0.5000 0.6083
0.1423 0.4643 0.1752
0.5000 0.0000 0.5000
0.9357 0.2745 0.8795
0.9643 0.3577 0.3248
0.6423 0.0357 0.3248
0.2255 0.4357 0.6205
0.9643 0.3577 0.6752
0.4031 0.4031 0.7969
0.9031 0.0969 0.2969
0.7745 0.5643 0.6205
0.2745 0.9357 0.8795
0.5643 0.7745 0.6205
0.4357 0.2255 0.3795
0.1842 0.1842 0.7548
0.5000 0.0000 0.0000
0.0000 0.0000 0.1083
0.5969 0.5969 0.7969
0.3562 0.6438 0.0000
0.6438 0.3562 0.0000
0.7411 0.2589 0.5000
0.1438 0.1438 0.5000
0.2589 0.7411 0.5000
0.8562 0.8562 0.5000
0.7589 0.7589 0.0000
0.2411 0.2411 0.0000
0.1277 0.8723 0.0000
0.6277 0.6277 0.5000
0.8723 0.1277 0.0000
0.3723 0.3723 0.5000
```

Values from the calculation:
**Calculated volume**: 13.02 Å³/atom
**E**: -544.11 eV per cell
**Size of the total moment**: 119.86 μB per cell


Entry 2:
Density functional theory data (PBE) for a relaxed Ho2Fe4IrC4 crystal.

```
Ho2Fe4IrC4
1.0
-2.7100 0.4192 6.4687
1.0468 3.6352 4.3150
-4.9779 1.5955 1.3304
Fe C Ir Ho
4 4 1 2
direct
0.7500 0.7500 0.7500
0.2500 0.2500 0.2500
0.5000 0.5000 0.0000
0.0000 0.0000 0.5000
0.4662 0.8016 0.1984
0.1984 0.5338 0.4662
0.5338 0.1984 0.8016
0.8016 0.4662 0.5338
0.5000 0.5000 0.5000
0.8491 0.8491 0.1509
0.1509 0.1509 0.8491
```

Values from the calculation:
**Calculated volume**: 11.26 Å³/atom
**E**: -90.20 eV per cell
**Size of the total moment**: 0.01 μB per cell


Entry 3:
Density functional theory data (PBE) for a relaxed Ho2FeIr4C4 crystal.

```
Ho2FeIr4C4
1.0
0.0000 4.8200 5.4800
2.6886 0.0000 5.4800
2.6886 4.8200 0.0000
C Ho Ir Fe
4 2 4 1
direct
0.2281 0.5150 0.4850
0.7719 0.4850 0.5150
0.4850 0.7719 0.2281
0.5150 0.2281 0.7719
0.1491 0.1491 0.8509
0.8509 0.8509 0.1491
0.5000 0.5000 0.0000
0.2500 0.2500 0.2500
0.0000 0.0000 0.5000
0.7500 0.7500 0.7500
0.5000 0.5000 0.5000
```

Values from the calculation:
**Calculated volume**: 12.91 Å³/atom
**E**: -87.99 eV per cell
**Size of the total moment**: 0.59 μB per cell